## i
First-principles (PBE) data for a relaxed PHS2F crystal, as listed in Alexandria via LeMat-Bulk.

```
5
Lattice="4.7816 0.0000 0.0000 0.0000 4.7816 0.0000 0.0000 0.0000 3.8445" Properties=species:S:1:pos:R:3 pbc="T T T"
S 0.0000 2.3908 0.0000
S 2.3908 0.0000 0.0000
P 0.0000 0.0000 1.9223
F 0.0000 0.0000 0.0000
H 2.3908 2.3908 1.9223
```

## Properties
calculated density	2175	kg/m3
spin magnetization	0.24	μB per formula unit

## ii
First-principles (PBE) data for a relaxed PHS2F crystal, as listed in Alexandria via LeMat-Bulk.

```
5
Lattice="3.6415 0.0000 0.0000 0.0000 3.6415 0.0000 0.0000 0.0000 4.6873" Properties=species:S:1:pos:R:3 pbc="T T T"
P 0.0000 0.0000 2.3436
S 0.0000 1.8207 0.0000
S 1.8207 0.0000 0.0000
H 0.0000 0.0000 0.0000
F 1.8207 1.8207 2.3436
```

## Properties
calculated density	3075	kg/m3
spin magnetization	0.00	μB per formula unit

Name the most stable of them. ii.

## i
First-principles (PBE) data for a relaxed PaH3F6 crystal, as listed in Alexandria via LeMat-Bulk.

```
10
Lattice="7.3445 0.0000 0.0000 -3.6722 4.3827 -0.9211 0.0000 -0.2309 5.2363" Properties=species:S:1:pos:R:3 pbc="T T T"
H 3.6722 4.0479 4.0013
H 3.6722 4.2551 -0.4765
H 0.0000 1.3064 0.1959
Pa 0.0000 4.2175 1.7177
F 3.6722 1.4133 3.9737
F 0.0000 2.2865 0.1608
F 2.1752 0.6306 1.4354
F 5.1693 0.6306 1.4354
F 1.4686 3.2345 2.7965
F -1.4686 3.2345 2.7965
```

## Properties
calculated density	3461	kg/m3
spin magnetization	0.00	μB per formula unit

## ii
First-principles (PBE) data for a relaxed PaH3F6 crystal, as listed in Alexandria via LeMat-Bulk.

```
20
Lattice="-5.7466 0.6164 -2.4847 0.0730 -5.9211 2.1243 -0.2716 3.4582 5.2482" Properties=species:S:1:pos:R:3 pbc="T T T"
F -0.7875 -0.0398 2.5932
F -5.1577 -1.8066 2.2946
F -1.5849 -2.0164 0.8766
F -3.3551 -2.3614 4.2776
F -5.4077 1.7465 1.8096
F -1.9727 2.4116 3.6009
F -0.5375 -3.5930 3.0782
F -4.5720 -1.0182 -0.8564
F -1.3732 -0.8282 5.7442
F -4.3603 0.1700 4.0112
F -2.5901 0.5150 0.6102
F -3.9725 -4.2580 1.2869
H -5.7740 -2.4920 1.3418
H -0.1712 0.6456 3.5460
H -1.2952 -3.2965 0.6897
H -4.6500 1.4501 4.1981
H -2.5266 -2.9802 5.1073
H -3.4186 1.1337 -0.2195
Pa 0.0000 0.0000 0.0000
Pa -2.9726 -0.9232 2.4439
```

## Properties
calculated density	5170	kg/m3
spin magnetization	2.00	μB per formula unit

Name the most stable of them. i.

## i
First-principles (PBE) data for a relaxed PaH2F8 crystal, as listed in Alexandria via LeMat-Bulk.

```
11
Lattice="-0.4711 2.1845 4.7425 -5.7589 1.0306 0.0002 -3.6838 -3.8309 2.4456" Properties=species:S:1:pos:R:3 pbc="T T T"
H -2.8879 0.1957 2.8395
H -7.0260 -0.8115 4.3488
F -6.2521 0.0611 1.7562
F -4.7600 1.8960 4.1378
F -7.9797 -1.6361 3.5187
F -6.4670 -0.2740 4.9430
F -5.1539 -2.5118 3.0504
F -1.9341 1.0203 3.6696
F -3.4469 -0.3418 2.2453
F -3.6617 -0.6769 5.4320
Pa 0.0000 0.0000 0.0000
```

## Properties
calculated density	4201	kg/m3
spin magnetization	1.12	μB per formula unit

## ii
First-principles (PBE) data for a relaxed PaH2F8 crystal, as listed in Alexandria via LeMat-Bulk.

```
11
Lattice="8.8422 0.0000 0.0000 -4.4211 2.5014 -1.2970 0.0000 -1.8818 9.4758" Properties=species:S:1:pos:R:3 pbc="T T T"
F 1.4314 1.3491 0.6012
F 0.0000 -1.0089 7.3756
F 4.4211 1.6285 0.8031
F 0.0000 -0.0917 4.2653
F 2.9897 -0.7295 7.5776
F 4.4211 0.7113 3.9134
F -1.4313 1.3492 0.6012
F 5.8524 -0.7296 7.5776
Pa 0.0000 0.0000 0.0000
H 0.0000 -0.5264 3.2101
H 4.4211 1.1460 4.9686
```

## Properties
calculated density	3401	kg/m3
spin magnetization	1.01	μB per formula unit

Name the most stable of them. ii.

## i
First-principles (PBE) data for a relaxed PaH2F6 crystal, as listed in Alexandria via LeMat-Bulk.

```
18
Lattice="-7.1584 0.3914 1.8731 -2.4838 -1.5234 -6.8128 -1.1822 -4.8926 0.4423" Properties=species:S:1:pos:R:3 pbc="T T T"
F -0.9865 -0.4635 -1.4593
F -4.4258 -2.5477 -0.7895
F -6.6365 -0.6909 -2.3886
F -7.6663 -2.8134 -0.5992
F -8.4178 -3.4542 -4.7995
F -4.7375 -1.3247 -5.1641
F -3.1581 -3.2111 -3.8982
F -6.3986 -3.4768 -3.7079
F -9.8379 -5.5610 -3.0381
F -4.1879 -5.3336 -2.1088
F -2.4065 -2.5703 0.3021
F -6.0869 -4.6998 0.6667
H -3.3920 -2.5689 -0.2889
H -7.6217 -0.6896 -2.9796
H -3.2027 -5.3349 -1.5178
H -7.4324 -3.4556 -4.2084
Pa -6.2854 -1.3103 -0.1875
Pa -4.5389 -4.7142 -4.3099
```

## Properties
calculated density	4326	kg/m3
spin magnetization	1.00	μB per formula unit

## ii
First-principles (PBE) data for a relaxed PaH2F6 crystal, as listed in Alexandria via LeMat-Bulk.

```
9
Lattice="5.4431 0.0000 0.0000 2.7215 4.7138 0.0000 2.7215 1.5713 4.8935" Properties=species:S:1:pos:R:3 pbc="T T T"
Pa 2.7215 1.5713 0.0197
H 8.1646 4.7138 4.3546
H 5.4431 3.1425 0.4000
F 6.4118 1.7291 1.1870
F 4.6842 1.5215 3.7511
F 3.7346 3.0103 1.1870
F 6.1827 4.6882 1.1870
F 4.4186 4.6102 3.7511
F 7.2263 3.2959 3.7511
```

## Properties
calculated density	4590	kg/m3
spin magnetization	1.00	μB per formula unit

Name the most stable of them. i.

## i
First-principles (PBE) data for a relaxed H2PbF crystal, as listed in Alexandria via LeMat-Bulk.

```
4
Lattice="-1.4781 -3.6734 -0.1881 -2.5176 -1.2686 2.7869 -3.8235 -0.5550 -0.8873" Properties=species:S:1:pos:R:3 pbc="T T T"
H -1.9548 -1.3743 0.4279
H -5.8643 -4.1228 1.2836
F 0.0000 0.0000 0.0000
Pb -3.9096 -2.7485 0.8557
```

## Properties
calculated density	8603	kg/m3
spin magnetization	0.13	μB per formula unit

## ii
First-principles (PBE) data for a relaxed H2PbF crystal, as listed in Alexandria via LeMat-Bulk.

```
8
Lattice="-3.8504 0.6293 0.8625 -1.0045 -1.0417 -3.7244 -3.0145 -6.3814 0.4544" Properties=species:S:1:pos:R:3 pbc="T T T"
Pb 0.0000 0.0000 0.0000
Pb -4.6462 -2.9791 -0.0570
H -3.9788 -4.8343 -0.3520
H -3.6790 -1.2679 0.2752
H -6.6115 -5.2532 -2.5438
H -1.4694 -2.2320 -2.1945
F -2.4275 -0.2062 -1.4310
F -3.2232 -3.8146 -2.3505
```

## Properties
calculated density	7322	kg/m3
spin magnetization	0.00	μB per formula unit

Name the most stable of them. ii.

## i
First-principles (PBE) data for a relaxed HPb2F crystal, as listed in Alexandria via LeMat-Bulk.

```
4
Lattice="0.0000 3.3461 3.3461 3.3461 0.0000 3.3461 3.3461 3.3461 0.0000" Properties=species:S:1:pos:R:3 pbc="T T T"
F 3.3461 3.3461 3.3461
H 0.0000 0.0000 0.0000
Pb 5.0192 5.0192 5.0192
Pb 1.6731 1.6731 1.6731
```

## Properties
calculated density	9627	kg/m3
spin magnetization	0.00	μB per formula unit

## ii
First-principles (PBE) data for a relaxed HPb2F crystal, as listed in Alexandria via LeMat-Bulk.

```
8
Lattice="-4.8916 -1.0244 2.5183 -0.4299 -4.8272 -2.7986 0.1116 -5.6519 4.1360" Properties=species:S:1:pos:R:3 pbc="T T T"
Pb -1.9297 -6.6331 2.8810
Pb -4.5549 -9.1591 2.9726
Pb -1.0548 -4.6004 -0.2961
Pb -2.8805 -2.6142 2.1538
H -2.6608 -2.9258 -0.1402
H -1.4896 -6.7024 0.5986
F 0.0000 0.0000 0.0000
F -3.7204 -4.8010 3.2571
```

## Properties
calculated density	7970	kg/m3
spin magnetization	0.00	μB per formula unit

Name the most stable of them. ii.